No. 1
{
  "formula": "HfScTl2",
  "functional": "PBE",
  "state": "relaxed",
  "dft_energy_ev_per_cell": -21.28,
  "density_g_cm3": 11.51,
  "vol_a3_per_cell": 91.2,
  "crystal_system": "tetragonal",
  "magnetic_moment_mub_per_cell": 0.57,
  "cell": [[3.2217, 0.0000, 0.0000], [0.0000, 3.2217, 0.0000], [0.0000, 0.0000, 8.7884]],
  "species": ["Sc", "Tl", "Tl", "Hf"],
  "frac_coords": [[0.5000, 0.5000, 0.5000], [0.0000, 0.0000, 0.7494], [0.0000, 0.0000, 0.2506], [0.5000, 0.5000, 0.0000]]
}


No. 2
{
  "formula": "HfSc4Tl",
  "functional": "PBE",
  "state": "relaxed",
  "dft_energy_ev_per_cell": -38.13,
  "density_g_cm3": 6.60,
  "vol_a3_per_cell": 141.6,
  "crystal_system": "orthorhombic",
  "magnetic_moment_mub_per_cell": 0.00,
  "cell": [[3.2142, 0.0000, -0.6181], [0.0000, 5.1073, -0.0001], [-0.0117, 0.0001, 8.6289]],
  "species": ["Hf", "Sc", "Sc", "Sc", "Sc", "Tl"],
  "frac_coords": [[0.3881, 0.5027, 0.0219], [0.2833, 0.0027, 0.8121], [0.9443, 0.0027, 0.1333], [0.0562, 0.5027, 0.3575], [0.7283, 0.5027, 0.7030], [0.6187, 0.0028, 0.4833]]
}


No. 3
{
  "formula": "HfSc3Tl",
  "functional": "PBE",
  "state": "relaxed",
  "dft_energy_ev_per_cell": -27.19,
  "density_g_cm3": 5.77,
  "vol_a3_per_cell": 149.0,
  "crystal_system": "cubic",
  "magnetic_moment_mub_per_cell": 2.12,
  "cell": [[5.3014, 0.0000, 0.0000], [0.0000, 5.3014, 0.0000], [0.0000, 0.0000, 5.3014]],
  "species": ["Sc", "Sc", "Sc", "Tl", "Hf"],
  "frac_coords": [[0.0000, 0.5000, 0.0000], [0.0000, 0.0000, 0.5000], [0.5000, 0.0000, 0.0000], [0.0000, 0.0000, 0.0000], [0.5000, 0.5000, 0.5000]]
}


No. 4
{
  "formula": "HfSc3Tl",
  "functional": "PBE",
  "state": "relaxed",
  "dft_energy_ev_per_cell": -27.70,
  "density_g_cm3": 6.01,
  "vol_a3_per_cell": 143.0,
  "crystal_system": "cubic",
  "magnetic_moment_mub_per_cell": 0.00,
  "cell": [[5.2297, 0.0000, 0.0000], [0.0000, 5.2297, 0.0000], [0.0000, 0.0000, 5.2297]],
  "species": ["Sc", "Sc", "Sc", "Tl", "Hf"],
  "frac_coords": [[0.0000, 0.5000, 0.0000], [0.0000, 0.0000, 0.5000], [0.5000, 0.0000, 0.0000], [0.5000, 0.5000, 0.5000], [0.0000, 0.0000, 0.0000]]
}


No. 5
{
  "formula": "HfScTl",
  "functional": "PBE",
  "state": "relaxed",
  "dft_energy_ev_per_cell": -38.04,
  "density_g_cm3": 10.25,
  "vol_a3_per_cell": 138.6,
  "crystal_system": "tetragonal",
  "magnetic_moment_mub_per_cell": 0.08,
  "cell": [[3.1260, -0.0363, -0.6600], [-0.1013, 3.1249, -0.6595], [-0.2468, -0.2572, 14.2994]],
  "species": ["Hf", "Hf", "Sc", "Sc", "Tl", "Tl"],
  "frac_coords": [[0.3029, 0.7057, 0.3592], [0.9603, 0.3632, 0.5169], [0.9645, 0.3676, 0.0205], [0.6310, 0.0338, 0.6871], [0.3014, 0.7042, 0.8573], [0.6283, 0.0315, 0.1848]]
}


No. 6
{
  "formula": "HfSc6Tl",
  "functional": "PBE",
  "state": "relaxed",
  "dft_energy_ev_per_cell": -50.97,
  "density_g_cm3": 5.77,
  "vol_a3_per_cell": 187.9,
  "crystal_system": "tetragonal",
  "magnetic_moment_mub_per_cell": 0.00,
  "cell": [[-3.8591, 1.8958, -1.3963], [-2.3534, -3.0220, 2.4012], [0.1496, 5.6468, 7.2533]],
  "species": ["Hf", "Sc", "Sc", "Sc", "Sc", "Sc", "Sc", "Tl"],
  "frac_coords": [[0.0000, 0.0000, 0.5000], [0.5000, 0.5000, 0.0000], [0.5000, 0.5000, 0.5000], [0.5000, 0.0000, 0.2556], [0.5000, 0.0000, 0.7444], [0.0000, 0.5000, 0.2556], [0.0000, 0.5000, 0.7444], [0.0000, 0.0000, 0.0000]]
}